Density functional theory data (PBEsol) for crystalline FeRhNO2 at its relaxed geometry.

As for the crystal system: tetragonal. For the uncorrected energy, the calculation gives -34.0 eV per cell.

The structure belongs to space group P4/mmm (No. 123); the cell edges are 3.928, 3.928 and 3.611 Å and the angles 90.00°, 90.00° and 90.00°. The distinct sites, in fractional coordinates, are Fe at (0.000, 0.000, 0.000), Rh at (0.500, 0.500, 0.500), N at (0.500, 0.500, 0.000) and O at (0.000, 0.500, 0.500).

***

Density functional theory data (PBEsol) for crystalline FeRuNO2 at its relaxed geometry.

As for the crystal system: tetragonal. For the uncorrected energy, the calculation gives -37.3 eV per cell.

The structure belongs to space group P4/mmm (No. 123); the cell edges are 3.833, 3.833 and 3.714 Å and the angles 90.00°, 90.00° and 90.00°. The distinct sites, in fractional coordinates, are Fe at (0.000, 0.000, 0.000), Ru at (0.500, 0.500, 0.500), N at (0.500, 0.500, 0.000) and O at (0.000, 0.500, 0.500).

***

Density functional theory data (PBEsol) for crystalline ScFeN2O at its relaxed geometry.

As for the crystal system: tetragonal. For the uncorrected energy, the calculation gives -35.3 eV per cell.

The structure belongs to space group P4/mmm (No. 123); the cell edges are 4.049, 4.049 and 3.929 Å and the angles 90.00°, 90.00° and 90.00°. The distinct sites, in fractional coordinates, are Sc at (0.000, 0.000, 0.000), Fe at (0.500, 0.500, 0.500), N at (0.000, 0.500, 0.000) and O at (0.000, 0.000, 0.500).

***

Density functional theory data (PBEsol) for crystalline FeSeN2O at its relaxed geometry.

As for the crystal system: tetragonal. For the uncorrected energy, the calculation gives -29.1 eV per cell.

The structure belongs to space group P4/mmm (No. 123); the cell edges are 3.735, 3.735 and 3.730 Å and the angles 90.00°, 90.00° and 90.00°. The distinct sites, in fractional coordinates, are Fe at (0.000, 0.000, 0.000), Se at (0.500, 0.500, 0.500), N at (0.000, 0.500, 0.500) and O at (0.500, 0.500, 0.000).

***

Density functional theory data (PBEsol) for crystalline Fe2SiNO at its relaxed geometry.

As for the crystal system: tetragonal. For the uncorrected energy, the calculation gives -34.2 eV per cell.

The structure belongs to space group P4/mmm (No. 123); the cell edges are 3.525, 3.525 and 4.676 Å and the angles 90.00°, 90.00° and 90.00°. The distinct sites, in fractional coordinates, are Fe at (0.000, 0.500, 0.000), Si at (0.000, 0.000, 0.500), N at (0.500, 0.500, 0.500) and O at (0.500, 0.500, 0.000).

***

Density functional theory data (PBEsol) for crystalline TaFeN2O at its relaxed geometry.

As for the crystal system: tetragonal. For the uncorrected energy, the calculation gives -44.1 eV per cell.

The structure belongs to space group P4/mmm (No. 123); the cell edges are 3.637, 3.637 and 3.478 Å and the angles 90.00°, 90.00° and 90.00°. The distinct sites, in fractional coordinates, are Ta at (0.000, 0.000, 0.000), Fe at (0.500, 0.500, 0.500), N at (0.000, 0.500, 0.500) and O at (0.500, 0.500, 0.000).

***

Density functional theory data (PBEsol) for crystalline YFeN2O at its relaxed geometry.

As for the crystal system: tetragonal. For the uncorrected energy, the calculation gives -43.0 eV per cell.

The structure belongs to space group P4/mmm (No. 123); the cell edges are 3.651, 3.651 and 3.818 Å and the angles 90.00°, 90.00° and 90.00°. The distinct sites, in fractional coordinates, are Y at (0.000, 0.000, 0.000), Fe at (0.500, 0.500, 0.500), N at (0.000, 0.500, 0.500) and O at (0.500, 0.500, 0.000).

***

Density functional theory data (PBEsol) for crystalline ZrFeN2O at its relaxed geometry.

As for the crystal system: tetragonal. For the uncorrected energy, the calculation gives -39.6 eV per cell.

The structure belongs to space group P4/mmm (No. 123); the cell edges are 4.153, 4.153 and 4.005 Å and the angles 90.00°, 90.00° and 90.00°. The distinct sites, in fractional coordinates, are Zr at (0.000, 0.000, 0.000), Fe at (0.500, 0.500, 0.500), N at (0.000, 0.500, 0.000) and O at (0.000, 0.000, 0.500).

***

Density functional theory data (PBEsol) for crystalline FePN3 at its relaxed geometry.

As for the crystal system: cubic. For the uncorrected energy, the calculation gives -36.3 eV per cell.

The structure belongs to space group Pm-3m (No. 221); the cell edges are 3.463, 3.463 and 3.463 Å and the angles 90.00°, 90.00° and 90.00°. The distinct sites, in fractional coordinates, are Fe at (0.000, 0.000, 0.000), P at (0.500, 0.500, 0.500) and N at (0.000, 0.500, 0.500).

***

Density functional theory data (PBEsol) for crystalline Fe2PN at its relaxed geometry.

As for the crystal system: cubic. For the uncorrected energy, the calculation gives -124.3 eV per cell.

The structure belongs to space group Fm-3m (No. 225); the cell edges are 5.261, 5.261 and 5.261 Å and the angles 90.00°, 90.00° and 90.00°. The distinct sites, in fractional coordinates, are Fe at (0.250, 0.250, 0.250), P at (0.000, 0.000, 0.000) and N at (0.000, 0.000, 0.500).

***

Density functional theory data (PBEsol) for crystalline FePS2N at its relaxed geometry.

As for the crystal system: tetragonal. For the uncorrected energy, the calculation gives -27.0 eV per cell.

The structure belongs to space group P4/mmm (No. 123); the cell edges are 3.946, 3.946 and 4.100 Å and the angles 90.00°, 90.00° and 90.00°. The distinct sites, in fractional coordinates, are Fe at (0.000, 0.000, 0.000), P at (0.500, 0.500, 0.000), S at (0.000, 0.500, 0.500) and N at (0.500, 0.500, 0.500).

***

Density functional theory data (PBEsol) for crystalline ScFeP2N at its relaxed geometry.

As for the crystal system: tetragonal. For the uncorrected energy, the calculation gives -30.5 eV per cell.

The structure belongs to space group P4/mmm (No. 123); the cell edges are 4.861, 4.861 and 3.927 Å and the angles 90.00°, 90.00° and 90.00°. The distinct sites, in fractional coordinates, are Sc at (0.000, 0.000, 0.000), Fe at (0.500, 0.500, 0.500), P at (0.000, 0.500, 0.000) and N at (0.000, 0.000, 0.500).

***

Density functional theory data (PBEsol) for crystalline FePbW2N at its relaxed geometry.

As for the crystal system: tetragonal. For the uncorrected energy, the calculation gives -37.4 eV per cell.

The structure belongs to space group P4/mmm (No. 123); the cell edges are 4.403, 4.403 and 4.762 Å and the angles 90.00°, 90.00° and 90.00°. The distinct sites, in fractional coordinates, are Fe at (0.000, 0.000, 0.000), Pb at (0.000, 0.000, 0.500), W at (0.000, 0.500, 0.000) and N at (0.500, 0.500, 0.500).

***

Density functional theory data (PBEsol) for crystalline FePdN3 at its relaxed geometry.

As for the crystal system: cubic. For the uncorrected energy, the calculation gives -34.5 eV per cell.

The structure belongs to space group Pm-3m (No. 221); the cell edges are 3.619, 3.619 and 3.619 Å and the angles 90.00°, 90.00° and 90.00°. The distinct sites, in fractional coordinates, are Fe at (0.000, 0.000, 0.000), Pd at (0.500, 0.500, 0.500) and N at (0.000, 0.000, 0.500).

***

Density functional theory data (PBEsol) for crystalline FePdSeN2 at its relaxed geometry.

As for the crystal system: tetragonal. For the uncorrected energy, the calculation gives -28.4 eV per cell.

The structure belongs to space group P4/mmm (No. 123); the cell edges are 3.738, 3.738 and 5.455 Å and the angles 90.00°, 90.00° and 90.00°. The distinct sites, in fractional coordinates, are Fe at (0.000, 0.000, 0.000), Pd at (0.500, 0.500, 0.500), Se at (0.500, 0.500, 0.000) and N at (0.000, 0.500, 0.500).

***

Density functional theory data (PBEsol) for crystalline FeTePdN2 at its relaxed geometry.

As for the crystal system: tetragonal. For the uncorrected energy, the calculation gives -32.1 eV per cell.

The structure belongs to space group P4/mmm (No. 123); the cell edges are 3.600, 3.600 and 5.530 Å and the angles 90.00°, 90.00° and 90.00°. The distinct sites, in fractional coordinates, are Fe at (0.000, 0.000, 0.000), Te at (0.000, 0.000, 0.500), Pd at (0.500, 0.500, 0.500) and N at (0.000, 0.500, 0.000).

***

Density functional theory data (PBEsol) for crystalline FePtSeN2 at its relaxed geometry.

As for the crystal system: tetragonal. For the uncorrected energy, the calculation gives -33.0 eV per cell.

The structure belongs to space group P4/mmm (No. 123); the cell edges are 3.511, 3.511 and 5.397 Å and the angles 90.00°, 90.00° and 90.00°. The distinct sites, in fractional coordinates, are Fe at (0.000, 0.000, 0.000), Pt at (0.500, 0.500, 0.500), Se at (0.000, 0.000, 0.500) and N at (0.000, 0.500, 0.000).

***

Density functional theory data (PBEsol) for crystalline RbFeN at its relaxed geometry.

As for the crystal system: orthorhombic. For the uncorrected energy, the calculation gives -75.3 eV per cell.

The structure belongs to space group Pnma (No. 62); the cell edges are 10.542, 3.491 and 6.460 Å and the angles 90.00°, 90.00° and 90.00°. The distinct sites, in fractional coordinates, are Rb at (0.167, 0.250, 0.073), Fe at (0.039, 0.250, 0.597) and N at (0.055, 0.750, 0.642).

***

Density functional theory data (PBEsol) for crystalline Rb3FeN at its relaxed geometry.

As for the crystal system: cubic. For the uncorrected energy, the calculation gives -14.9 eV per cell.

The structure belongs to space group Pm-3m (No. 221); the cell edges are 5.680, 5.680 and 5.680 Å and the angles 90.00°, 90.00° and 90.00°. The distinct sites, in fractional coordinates, are Rb at (0.000, 0.000, 0.500), Fe at (0.500, 0.500, 0.500) and N at (0.000, 0.000, 0.000).

***

Density functional theory data (PBEsol) for crystalline RbFeS2N at its relaxed geometry.

As for the crystal system: tetragonal. For the uncorrected energy, the calculation gives -15.6 eV per cell.

The structure belongs to space group P4/mmm (No. 123); the cell edges are 5.339, 5.339 and 4.457 Å and the angles 90.00°, 90.00° and 90.00°. The distinct sites, in fractional coordinates, are Rb at (0.000, 0.000, 0.000), Fe at (0.500, 0.500, 0.500), S at (0.000, 0.500, 0.000) and N at (0.000, 0.000, 0.500).

***

Density functional theory data (PBEsol) for crystalline RbFeTe2N at its relaxed geometry.

As for the crystal system: tetragonal. For the uncorrected energy, the calculation gives -25.5 eV per cell.

The structure belongs to space group P4/mmm (No. 123); the cell edges are 5.771, 5.771 and 3.416 Å and the angles 90.00°, 90.00° and 90.00°. The distinct sites, in fractional coordinates, are Rb at (0.000, 0.000, 0.000), Fe at (0.500, 0.500, 0.500), Te at (0.000, 0.500, 0.500) and N at (0.500, 0.500, 0.000).

***

Density functional theory data (PBEsol) for crystalline FeReSe2N at its relaxed geometry.

As for the crystal system: tetragonal. For the uncorrected energy, the calculation gives -35.2 eV per cell.

The structure belongs to space group P4/mmm (No. 123); the cell edges are 4.964, 4.964 and 3.690 Å and the angles 90.00°, 90.00° and 90.00°. The distinct sites, in fractional coordinates, are Fe at (0.000, 0.000, 0.000), Re at (0.500, 0.500, 0.500), Se at (0.000, 0.500, 0.500) and N at (0.500, 0.500, 0.000).

***

Density functional theory data (PBEsol) for crystalline FeTeRhN2 at its relaxed geometry.

As for the crystal system: tetragonal. For the uncorrected energy, the calculation gives -33.6 eV per cell.

The structure belongs to space group P4/mmm (No. 123); the cell edges are 3.578, 3.578 and 5.513 Å and the angles 90.00°, 90.00° and 90.00°. The distinct sites, in fractional coordinates, are Fe at (0.000, 0.000, 0.000), Te at (0.000, 0.000, 0.500), Rh at (0.500, 0.500, 0.500) and N at (0.000, 0.500, 0.000).

***

Density functional theory data (PBEsol) for crystalline FeRuN2 at its relaxed geometry.

As for the crystal system: tetragonal. The calculation puts the distance to the lowest polymorph of the same formula at 0 meV/atom. For the uncorrected energy, the calculation gives -146.3 eV per cell.

The structure belongs to space group I-42d (No. 122); the cell edges are 4.367, 4.367 and 8.533 Å and the angles 90.00°, 90.00° and 90.00°. The distinct sites, in fractional coordinates, are Fe at (0.000, 0.000, 0.000), Ru at (0.000, 0.000, 0.500) and N at (0.221, 0.250, 0.125).

***

Density functional theory data (PBEsol) for crystalline FeRuN2 at its relaxed geometry.

As for the crystal system: trigonal. The calculation puts the distance to the lowest polymorph of the same formula at 457 meV/atom. For the uncorrected energy, the calculation gives -104.2 eV per cell.

The structure belongs to space group R-3m (No. 166, hexagonal axes); the cell edges are 2.7355, 2.7355 and 18.4685 Å and the angles 90.00°, 90.00° and 120.00°. The distinct sites, in fractional coordinates, are Fe at (0.0000, 0.0000, 0.0000), Ru at (0.0000, 0.0000, 0.5000) and N at (0.0000, 0.0000, 0.0958).

***

Density functional theory data (PBEsol) for crystalline FeRuSe2N at its relaxed geometry.

As for the crystal system: tetragonal. For the uncorrected energy, the calculation gives -32.8 eV per cell.

The structure belongs to space group P4/mmm (No. 123); the cell edges are 4.697, 4.697 and 3.274 Å and the angles 90.00°, 90.00° and 90.00°. The distinct sites, in fractional coordinates, are Fe at (0.000, 0.000, 0.000), Ru at (0.500, 0.500, 0.500), Se at (0.000, 0.500, 0.000) and N at (0.000, 0.000, 0.500).

***

Density functional theory data (PBEsol) for crystalline Fe3SN at its relaxed geometry.

As for the crystal system: cubic. For the uncorrected energy, the calculation gives -39.7 eV per cell.

The structure belongs to space group Pm-3m (No. 221); the cell edges are 3.762, 3.762 and 3.762 Å and the angles 90.00°, 90.00° and 90.00°. The distinct sites, in fractional coordinates, are Fe at (0.000, 0.000, 0.500), S at (0.500, 0.500, 0.500) and N at (0.000, 0.000, 0.000).

***

Density functional theory data (PBEsol) for crystalline FeSnSN2 at its relaxed geometry.

As for the crystal system: tetragonal. For the uncorrected energy, the calculation gives -32.0 eV per cell.

The structure belongs to space group P4/mmm (No. 123); the cell edges are 3.684, 3.684 and 4.742 Å and the angles 90.00°, 90.00° and 90.00°. The distinct sites, in fractional coordinates, are Fe at (0.000, 0.000, 0.000), Sn at (0.500, 0.500, 0.500), S at (0.000, 0.000, 0.500) and N at (0.000, 0.500, 0.000).